Computed, not measured: a relaxed YHo3Sc3 crystal at the GGA-PBE level of DFT.

Cell: 9.1630 9.1630 9.1630 Å, 51.14 51.14 51.14°
Fractional coordinates of all 14 atoms:
Y 0.3107 0.3107 0.3107
Y 0.6893 0.6893 0.6893
Ho 0.7189 0.2102 0.8899
Ho 0.2102 0.8899 0.7189
Ho 0.8899 0.7189 0.2102
Ho 0.1101 0.2811 0.7898
Ho 0.7898 0.1101 0.2811
Ho 0.2811 0.7898 0.1101
Sc 0.7663 0.5893 0.0500
Sc 0.0500 0.7663 0.5893
Sc 0.5893 0.0500 0.7663
Sc 0.4107 0.9500 0.2337
Sc 0.9500 0.2337 0.4107
Sc 0.2337 0.4107 0.9500

Output
For the magnetic moment, the calculation gives 0.14 μB/cell. Its space group is No. 148. The value obtained for the energy is -5.33 eV per atom.

---

Computed, not measured: a relaxed GeSI2N crystal at the GGA-PBE level of DFT.

Cell: 5.9567 5.9567 3.4468 Å, 90.00 90.00 90.00°
Fractional coordinates of all 5 atoms:
I 0.0000 0.5000 0.0000
I 0.5000 0.0000 0.0000
Ge 0.0000 0.0000 0.0000
S 0.5000 0.5000 0.5000
N 0.0000 0.0000 0.5000

Output
For the magnetic moment, the calculation gives 0.00 μB/cell. Its space group is No. 123. The value obtained for the energy is -3.09 eV per atom.

---

Computed, not measured: a relaxed Ag3SeS2 crystal at the GGA-PBE level of DFT.

Cell: 7.1168 7.0554 7.0988 Å, 119.80 120.08 90.00°
Fractional coordinates of all 12 atoms:
Ag 0.5000 0.2500 0.0000
Ag 0.5000 0.7500 0.0000
Ag 0.7879 0.0379 0.5758
Ag 0.2121 0.4621 0.4242
Ag 0.2121 0.9621 0.4242
Ag 0.7879 0.5379 0.5758
Se 0.0000 0.5000 0.0000
Se 0.0000 0.0000 0.0000
S 0.5527 0.3633 0.7266
S 0.8261 0.1367 0.2734
S 0.1739 0.8633 0.7266
S 0.4473 0.6367 0.2734

Output
For the magnetic moment, the calculation gives 0.00 μB/cell. Its space group is No. 72. The value obtained for the energy is -3.25 eV per atom.

---

Computed, not measured: a relaxed FeCu2Pt crystal at the GGA-PBE level of DFT.

Cell: 4.3978 2.6378 4.5773 Å, 86.43 90.00 90.00°
Last column: magnetic moment on the atom in μB.
Fractional coordinates of all 4 atoms:
Cu 0.0000 0.0101 0.0086  0.04
Cu 0.0000 0.4899 0.4914  0.04
Fe 0.5000 0.2500 0.2500  2.76
Pt 0.5000 0.7500 0.7500  0.12

Output
For the magnetic moment, the calculation gives 2.91 μB/cell. Its space group is No. 10. The value obtained for the energy is -5.67 eV per atom.

---

Computed, not measured: a relaxed CsPNCl2 crystal at the GGA-PBE level of DFT.

Cell: 5.8875 5.8875 6.2669 Å, 90.00 90.00 90.00°
Last column: magnetic moment on the atom in μB.
Fractional coordinates of all 5 atoms:
Cs 0.0000 0.0000 0.0000  0.07
P 0.0000 0.0000 0.5000  1.17
N 0.5000 0.5000 0.5000  1.94
Cl 0.0000 0.5000 0.0000  0.10
Cl 0.5000 0.0000 0.0000  0.10

Output
For the magnetic moment, the calculation gives 6.03 μB/cell. Its space group is No. 123. The value obtained for the energy is -2.27 eV per atom.

---

Computed, not measured: a relaxed Y3HgN crystal at the GGA-PBE level of DFT.

Cell: 18.9073 7.1104 7.1104 Å, 150.89 146.39 33.61°
Last column: magnetic moment on the atom in μB.
Fractional coordinates of all 10 atoms:
Y 0.3576 0.5940 0.4060  0.20
Y 0.6424 0.4060 0.5940  0.20
Y 0.1131 0.2605 0.7395  0.16
Y 0.8869 0.7395 0.2605  0.16
Y 0.6206 0.6718 0.3282  0.21
Y 0.3794 0.3282 0.6718  0.21
Hg 0.8634 0.9943 0.0057  0.01
Hg 0.1366 0.0057 0.9943  0.01
N 0.6341 0.0320 0.9680  -0.01
N 0.3659 0.9680 0.0320  -0.01

Output
For the magnetic moment, the calculation gives 2.24 μB/cell. Its space group is No. 12. The value obtained for the energy is -6.35 eV per atom.

---

Computed, not measured: a relaxed InSbCl4 crystal at the GGA-PBE level of DFT.

Cell: 6.0173 6.0173 6.0173 Å, 60.00 60.00 60.00°
Last column: magnetic moment on the atom in μB.
Fractional coordinates of all 6 atoms:
In 0.7500 0.7500 0.7500  -0.04
Sb 0.0000 0.0000 0.0000  -0.43
Cl 0.8763 0.3746 0.3746  0.25
Cl 0.3746 0.3746 0.8763  0.25
Cl 0.3746 0.8763 0.3746  0.25
Cl 0.3746 0.3746 0.3746  0.25

Output
For the magnetic moment, the calculation gives 0.06 μB/cell. Its space group is No. 216. The value obtained for the energy is -2.06 eV per atom.

---

Computed, not measured: a relaxed ThMn2Si2C crystal at the GGA-PBE level of DFT.

Cell: 3.9646 3.9646 5.2769 Å, 90.00 90.00 90.00°
Fractional coordinates of all 6 atoms:
Th 0.0000 0.0000 0.5000
Mn 0.5000 0.0000 0.0000
Mn 0.0000 0.5000 0.0000
Si 0.5000 0.5000 0.7344
Si 0.5000 0.5000 0.2656
C 0.0000 0.0000 0.0000

Output
For the magnetic moment, the calculation gives 0.01 μB/cell. Its space group is No. 123. The value obtained for the energy is -8.14 eV per atom.

---

Q: Which value of energy does entry 2 give?
A: -3.09 eV per atom